1.
The following is a DFT calculation (GGA-PBE) of a relaxed Nd2Mg2Tl crystal.

- V (Å³/atom) = 28.130
- formation energy (meV per atom) = -174
- relative energy among the computed polymorphs (eV/f.u.) = 0.03

Cell: 5.204 6.320 10.110 Å, 97.96 75.09 65.68°
Fractional coordinates of all 10 atoms:
Nd  0.699  0.255  0.347
Nd  0.894  0.276  0.936
Nd  0.301  0.745  0.653
Nd  0.106  0.724  0.064
Mg  0.054  0.311  0.582
Mg  0.657  0.826  0.860
Mg  0.946  0.689  0.418
Mg  0.343  0.174  0.140
Tl  0.554  0.191  0.702
Tl  0.446  0.809  0.298

***

2.
The following is a DFT calculation (GGA-PBE) of a relaxed Nd5Mg2Tl crystal.

- V (Å³/atom) = 32.088
- formation energy (meV per atom) = -45
- relative energy among the computed polymorphs (eV/f.u.) = 0.46

Cell: 8.084 8.084 9.716 Å, 114.58 114.58 90.00°
Fractional coordinates of all 16 atoms:
Nd  0.504  0.679  0.683
Nd  0.821  0.996  0.317
Nd  0.000  0.000  0.000
Nd  0.500  0.500  0.000
Nd  0.179  0.004  0.683
Nd  0.679  0.179  0.683
Nd  0.004  0.504  0.683
Nd  0.321  0.821  0.317
Nd  0.996  0.496  0.317
Nd  0.496  0.321  0.317
Mg  0.127  0.373  0.000
Mg  0.627  0.127  0.000
Mg  0.373  0.873  0.000
Mg  0.873  0.627  0.000
Tl  0.750  0.750  0.500
Tl  0.250  0.250  0.500

***

3.
The following is a DFT calculation (GGA-PBE) of a relaxed Nd3MgTl crystal.

- V (Å³/atom) = 30.817
- formation energy (meV per atom) = -175
- relative energy among the computed polymorphs (eV/f.u.) = 0.04

Cell: 5.472 6.830 8.755 Å, 97.14 108.21 90.00°
Fractional coordinates of all 10 atoms:
Nd  0.978  0.739  0.957
Nd  0.022  0.261  0.043
Nd  0.398  0.040  0.796
Nd  0.602  0.960  0.204
Nd  0.206  0.647  0.413
Nd  0.794  0.353  0.587
Mg  0.792  0.872  0.585
Mg  0.208  0.128  0.415
Tl  0.599  0.473  0.199
Tl  0.401  0.527  0.801

***

4.
The following is a DFT calculation (GGA-PBE) of a relaxed Nd3Mg2Tl3 crystal.

- V (Å³/atom) = 27.757
- formation energy (meV per atom) = -254

Cell: 4.595 4.990 10.262 Å, 104.07 102.94 90.00°
Each line ends with the local moment (μB).
Fractional coordinates of all 8 atoms:
Nd  0.629  0.629  0.259  0.09
Nd  0.371  0.371  0.741  0.09
Nd  0.500  0.000  0.000  0.19
Mg  0.746  0.246  0.492  0.00
Mg  0.254  0.754  0.508  0.00
Tl  0.141  0.141  0.283  0.00
Tl  0.000  0.500  0.000  -0.01
Tl  0.859  0.859  0.717  0.00

***

5.
The following is a DFT calculation (GGA-PBE) of a relaxed NdMg11Tl crystal.

- V (Å³/atom) = 24.071
- formation energy (meV per atom) = -61

Cell: 5.946 7.789 7.852 Å, 81.98 67.75 68.39°
Fractional coordinates of all 13 atoms:
Nd  0.000  0.000  0.000
Mg  0.285  0.211  0.212
Mg  0.715  0.789  0.788
Mg  0.503  0.789  0.212
Mg  0.497  0.211  0.788
Mg  0.346  0.649  0.646
Mg  0.654  0.351  0.354
Mg  0.008  0.351  0.646
Mg  0.992  0.649  0.354
Mg  0.000  0.500  0.000
Mg  0.500  0.000  0.500
Mg  0.000  0.000  0.500
Tl  0.500  0.500  0.000

***

6.
The following is a DFT calculation (GGA-PBE) of a relaxed NdMg2Tl crystal.

- V (Å³/atom) = 25.516
- formation energy (meV per atom) = -88
- relative energy among the computed polymorphs (eV/f.u.) = 0.57

Cell: 5.246 5.246 5.246 Å, 60.00 60.00 60.00°
Fractional coordinates of all 4 atoms:
Tl  0.500  0.500  0.500
Nd  0.000  0.000  0.000
Mg  0.250  0.250  0.250
Mg  0.750  0.750  0.750

***

7.
The following is a DFT calculation (GGA-PBE) of a relaxed Nd3Mg4Tl4 crystal.

- V (Å³/atom) = 26.674
- formation energy (meV per atom) = -302

Cell: 4.795 7.707 9.145 Å, 114.92 105.20 90.00°
Fractional coordinates of all 11 atoms:
Nd  0.120  0.120  0.240
Nd  0.880  0.880  0.760
Nd  0.000  0.500  0.000
Mg  0.328  0.133  0.655
Mg  0.672  0.478  0.345
Mg  0.672  0.867  0.345
Mg  0.328  0.522  0.655
Tl  0.217  0.717  0.434
Tl  0.783  0.283  0.566
Tl  0.500  0.800  0.000
Tl  0.500  0.200  0.000

***

8.
The following is a DFT calculation (GGA-PBE) of a relaxed Nd4MgTl2 crystal.

- V (Å³/atom) = 31.140
- formation energy (meV per atom) = -111
- relative energy among the computed polymorphs (eV/f.u.) = 0.60

Cell: 8.121 6.554 9.472 Å, 90.00 120.15 90.00°
Fractional coordinates of all 14 atoms:
Nd  0.548  0.494  0.220
Nd  0.061  0.750  0.892
Nd  0.939  0.250  0.108
Nd  0.548  0.006  0.220
Nd  0.031  0.250  0.511
Nd  0.452  0.994  0.780
Nd  0.452  0.506  0.780
Nd  0.969  0.750  0.489
Mg  0.234  0.750  0.310
Mg  0.766  0.250  0.690
Tl  0.812  0.750  0.091
Tl  0.188  0.250  0.909
Tl  0.367  0.250  0.426
Tl  0.633  0.750  0.574

***

9.
The following is a DFT calculation (GGA-PBE) of a relaxed NdMg2Tl crystal.

- V (Å³/atom) = 26.154
- formation energy (meV per atom) = -189
- relative energy among the computed polymorphs (eV/f.u.) = 0.17

Cell: 5.294 5.301 5.301 Å, 89.91 120.20 120.21°
Fractional coordinates of all 4 atoms:
Nd  0.125  0.313  0.437
Mg  0.125  0.812  0.937
Mg  0.625  0.064  0.687
Tl  0.625  0.561  0.189

***

10.
The following is a DFT calculation (GGA-PBE) of a relaxed Nd3MgTl2 crystal.

- V (Å³/atom) = 29.664
- formation energy (meV per atom) = -306
- relative energy among the computed polymorphs (eV/f.u.) = 0.00

Cell: 5.514 5.514 13.518 Å, 90.00 90.00 120.00°
Fractional coordinates of all 12 atoms:
Nd  0.333  0.667  0.419
Nd  0.667  0.333  0.081
Nd  0.000  0.000  0.751
Nd  0.000  0.000  0.249
Nd  0.333  0.667  0.919
Nd  0.667  0.333  0.581
Mg  0.333  0.667  0.668
Mg  0.667  0.333  0.332
Tl  0.000  0.000  0.500
Tl  0.333  0.667  0.176
Tl  0.667  0.333  0.824
Tl  0.000  0.000  0.000

***

11.
The following is a DFT calculation (GGA-PBE) of a relaxed NdMg3Tl3 crystal.

- V (Å³/atom) = 46.664
- formation energy (meV per atom) = 826
- relative energy among the computed polymorphs (eV/f.u.) = 3.07

Cell: 9.740 9.740 9.740 Å, 60.00 60.00 60.00°
Each line ends with the local moment (μB).
Fractional coordinates of all 14 atoms:
Nd  0.250  0.250  0.250  0.44
Nd  0.750  0.750  0.750  0.44
Mg  0.150  0.850  0.850  0.00
Mg  0.150  0.850  0.150  0.00
Mg  0.150  0.150  0.850  0.00
Mg  0.850  0.150  0.850  0.00
Mg  0.850  0.150  0.150  0.00
Mg  0.850  0.850  0.150  0.00
Tl  0.341  0.659  0.341  0.00
Tl  0.341  0.659  0.659  0.00
Tl  0.341  0.341  0.659  0.00
Tl  0.659  0.341  0.659  0.00
Tl  0.659  0.341  0.341  0.00
Tl  0.659  0.659  0.341  0.00

***

12.
The following is a DFT calculation (GGA-PBE) of a relaxed NdMg3Tl crystal.

- V (Å³/atom) = 33.607
- formation energy (meV per atom) = 253

Cell: 5.756 5.756 10.930 Å, 105.27 105.27 90.00°
Fractional coordinates of all 10 atoms:
Nd  0.556  0.056  0.111
Nd  0.944  0.444  0.889
Mg  0.623  0.873  0.747
Mg  0.127  0.876  0.253
Mg  0.127  0.377  0.253
Mg  0.124  0.873  0.747
Mg  0.336  0.336  0.672
Mg  0.664  0.664  0.328
Tl  0.000  0.000  0.000
Tl  0.250  0.750  0.500